Entry 1:
# Na3Pu3CuS8 PBE optimized geometry
# Total moment   0.80 μB per atom
# Calculated volume   705.7 Å³/cell
# DFT total energy   -102.7 eV per formula unit
data_Na3Pu3CuS8
_chemical_formula_sum 'Na6 Pu6 Cu2 S16'
_symmetry_space_group_name_H-M 'C 1 2/m 1'
_symmetry_Int_Tables_number 12
_symmetry_space_group_name_Hall '-C 2y'
_cell_length_a 13.527
_cell_length_b 7.810
_cell_length_c 8.059
_cell_angle_alpha 90.00
_cell_angle_beta 124.02
_cell_angle_gamma 90.00
loop_
_atom_site_label
_atom_site_type_symbol
_atom_site_fract_x
_atom_site_fract_y
_atom_site_fract_z
_atom_site_occupancy
Na1 Na 0.000 0.000 0.000 1
Na2 Na 0.250 0.250 0.000 1
Pu1 Pu 0.000 0.500 0.500 1
Pu2 Pu 0.250 0.250 0.500 1
Cu1 Cu 0.000 0.000 0.500 1
S1 S 0.010 0.244 0.289 1
S2 S 0.233 0.000 0.711 1
S3 S 0.243 0.500 0.729 1

Entry 2:
# Tm8Cu2Pb PBE optimized geometry
# Total moment   0.14 μB per atom
# ΔE_f   -0.100 eV/atom
# Calculated volume   592.5 Å³/cell
data_Tm8Cu2Pb
_chemical_formula_sum 'Tm16 Cu4 Pb2'
_symmetry_space_group_name_H-M 'C 1 2/m 1'
_symmetry_Int_Tables_number 12
_symmetry_space_group_name_Hall '-C 2y'
_cell_length_a 8.706
_cell_length_b 13.293
_cell_length_c 5.309
_cell_angle_alpha 90.00
_cell_angle_beta 105.35
_cell_angle_gamma 90.00
loop_
_atom_site_label
_atom_site_type_symbol
_atom_site_fract_x
_atom_site_fract_y
_atom_site_fract_z
_atom_site_occupancy
Tm1 Tm 0.000 0.245 0.000 1
Tm2 Tm 0.104 0.500 0.801 1
Tm3 Tm 0.208 0.127 0.592 1
Cu1 Cu 0.000 0.307 0.500 1
Pb1 Pb 0.000 0.000 0.000 1

Entry 3:
# KGePd PBE optimized geometry
# E above lowest polymorph   0.150 eV per atom
# Total moment   0.00 μB per atom
# ΔE_f   -0.213 eV/atom
# Calculated volume   83.4 Å³/cell
data_KGePd
_chemical_formula_sum 'K1 Ge1 Pd1'
_symmetry_space_group_name_H-M 'P -6 m 2'
_symmetry_Int_Tables_number 187
_symmetry_space_group_name_Hall 'P -6 2'
_cell_length_a 4.2067
_cell_length_b 4.2067
_cell_length_c 5.4407
_cell_angle_alpha 90.00
_cell_angle_beta 90.00
_cell_angle_gamma 120.00
loop_
_atom_site_label
_atom_site_type_symbol
_atom_site_fract_x
_atom_site_fract_y
_atom_site_fract_z
_atom_site_occupancy
K1 K 0.0000 0.0000 0.0000 1
Ge1 Ge 0.6667 0.3333 0.5000 1
Pd1 Pd 0.3333 0.6667 0.5000 1

Entry 4:
# SrPm5Au6 PBE optimized geometry
# Total moment   0.00 μB per atom
# ΔE_f   -0.771 eV/atom
# Calculated volume   308.0 Å³/cell
data_SrPm5Au6
_chemical_formula_sum 'Sr1 Pm5 Au6'
_symmetry_space_group_name_H-M 'P 1 2/m 1'
_symmetry_Int_Tables_number 10
_symmetry_space_group_name_Hall '-P 2y'
_cell_length_a 5.246
_cell_length_b 7.421
_cell_length_c 8.333
_cell_angle_alpha 90.00
_cell_angle_beta 108.30
_cell_angle_gamma 90.00
loop_
_atom_site_label
_atom_site_type_symbol
_atom_site_fract_x
_atom_site_fract_y
_atom_site_fract_z
_atom_site_occupancy
Sr1 Sr 0.000 0.000 0.000 1
Pm1 Pm 0.000 0.500 0.000 1
Pm2 Pm 0.336 0.500 0.669 1
Pm3 Pm 0.337 0.000 0.671 1
Au1 Au 0.172 0.254 0.349 1
Au2 Au 0.500 0.266 0.000 1

Entry 5:
# PmAl2Ga2 PBE optimized geometry
# Total moment   0.00 μB per atom
# ΔE_f   -0.436 eV/atom
# Calculated volume   197.9 Å³/cell
data_PmAl2Ga2
_chemical_formula_sum 'Pm2 Al4 Ga4'
_symmetry_space_group_name_H-M 'I 4/m m m'
_symmetry_Int_Tables_number 139
_symmetry_space_group_name_Hall '-I 4 2'
_cell_length_a 4.199
_cell_length_b 4.199
_cell_length_c 11.228
_cell_angle_alpha 90.00
_cell_angle_beta 90.00
_cell_angle_gamma 90.00
loop_
_atom_site_label
_atom_site_type_symbol
_atom_site_fract_x
_atom_site_fract_y
_atom_site_fract_z
_atom_site_occupancy
Pm1 Pm 0.000 0.000 0.000 1
Al1 Al 0.000 0.500 0.250 1
Ga1 Ga 0.000 0.000 0.389 1

Entry 6:
# KHgBr2 PBE optimized geometry
# E above lowest polymorph   0.114 eV per atom
# Total moment   0.00 μB per atom
# Calculated volume   140.6 Å³/cell
data_KHgBr2
_chemical_formula_sum 'K1 Hg1 Br2'
_symmetry_space_group_name_H-M 'P m m m'
_symmetry_Int_Tables_number 47
_symmetry_space_group_name_Hall '-P 2 2'
_cell_length_a 4.133
_cell_length_b 4.197
_cell_length_c 8.108
_cell_angle_alpha 90.00
_cell_angle_beta 90.00
_cell_angle_gamma 90.00
loop_
_atom_site_label
_atom_site_type_symbol
_atom_site_fract_x
_atom_site_fract_y
_atom_site_fract_z
_atom_site_occupancy
K1 K 0.000 0.000 0.000 1
Hg1 Hg 0.000 0.500 0.500 1
Br1 Br 0.500 0.500 0.221 1

Entry 7:
# CaAuCl PBE optimized geometry
# E above lowest polymorph   0.116 eV per atom
# Total moment   0.00 μB per atom
# Calculated volume   91.6 Å³/cell
data_CaAuCl
_chemical_formula_sum 'Ca1 Au1 Cl1'
_symmetry_space_group_name_H-M 'P 3 m 1'
_symmetry_Int_Tables_number 156
_symmetry_space_group_name_Hall 'P 3 -2"'
_cell_length_a 4.0684
_cell_length_b 4.0684
_cell_length_c 6.3874
_cell_angle_alpha 90.00
_cell_angle_beta 90.00
_cell_angle_gamma 120.00
loop_
_atom_site_label
_atom_site_type_symbol
_atom_site_fract_x
_atom_site_fract_y
_atom_site_fract_z
_atom_site_occupancy
Ca1 Ca 0.0000 0.0000 0.0000 1
Au1 Au 0.3333 0.6667 0.7157 1
Cl1 Cl 0.6667 0.3333 0.2273 1

Entry 8:
# Ta2VPt2 PBE optimized geometry
# E above lowest polymorph   0.430 eV per atom
# Total moment   0.00 μB per atom
# ΔE_f   0.164 eV/atom
# Calculated volume   182.4 Å³/cell
data_Ta2VPt2
_chemical_formula_sum 'Ta4 V2 Pt4'
_symmetry_space_group_name_H-M 'I 4/m m m'
_symmetry_Int_Tables_number 139
_symmetry_space_group_name_Hall '-I 4 2'
_cell_length_a 3.674
_cell_length_b 3.674
_cell_length_c 13.511
_cell_angle_alpha 90.00
_cell_angle_beta 90.00
_cell_angle_gamma 90.00
loop_
_atom_site_label
_atom_site_type_symbol
_atom_site_fract_x
_atom_site_fract_y
_atom_site_fract_z
_atom_site_occupancy
Ta1 Ta 0.000 0.000 0.101 1
V1 V 0.000 0.000 0.500 1
Pt1 Pt 0.000 0.500 0.250 1

Entry 9:
# CoIr2W PBE optimized geometry
# E above lowest polymorph   0.217 eV per atom
# Total moment   0.31 μB per atom
# ΔE_f   0.002 eV/atom
# Calculated volume   56.0 Å³/cell
data_CoIr2W
_chemical_formula_sum 'Co1 Ir2 W1'
_symmetry_space_group_name_H-M 'P 4 m m'
_symmetry_Int_Tables_number 99
_symmetry_space_group_name_Hall 'P 4 -2'
_cell_length_a 2.732
_cell_length_b 2.732
_cell_length_c 7.500
_cell_angle_alpha 90.00
_cell_angle_beta 90.00
_cell_angle_gamma 90.00
loop_
_atom_site_label
_atom_site_type_symbol
_atom_site_fract_x
_atom_site_fract_y
_atom_site_fract_z
_atom_site_occupancy
Co1 Co 0.000 0.000 0.000 1
Ir1 Ir 0.000 0.000 0.497 1
Ir2 Ir 0.500 0.500 0.233 1
W1 W 0.500 0.500 0.762 1

Entry 10:
# PrY3Hg PBE optimized geometry
# Total moment   0.00 μB per atom
# ΔE_f   -0.110 eV/atom
# Calculated volume   633.2 Å³/cell
data_PrY3Hg
_chemical_formula_sum 'Pr4 Y12 Hg4'
_symmetry_space_group_name_H-M 'C 1 2/m 1'
_symmetry_Int_Tables_number 12
_symmetry_space_group_name_Hall '-C 2y'
_cell_length_a 11.438
_cell_length_b 7.425
_cell_length_c 7.947
_cell_angle_alpha 90.00
_cell_angle_beta 110.26
_cell_angle_gamma 90.00
loop_
_atom_site_label
_atom_site_type_symbol
_atom_site_fract_x
_atom_site_fract_y
_atom_site_fract_z
_atom_site_occupancy
Pr1 Pr 0.064 0.000 0.231 1
Y1 Y 0.063 0.500 0.244 1
Y2 Y 0.159 0.249 0.643 1
Hg1 Hg 0.235 0.500 0.000 1

Entry 11:
# Hf2ScMo PBE optimized geometry
# E above lowest polymorph   0.093 eV per atom
# Total moment   0.00 μB per atom
# ΔE_f   0.109 eV/atom
# Calculated volume   80.4 Å³/cell
data_Hf2ScMo
_chemical_formula_sum 'Hf2 Sc1 Mo1'
_symmetry_space_group_name_H-M 'P 4/m m m'
_symmetry_Int_Tables_number 123
_symmetry_space_group_name_Hall '-P 4 2'
_cell_length_a 4.733
_cell_length_b 4.733
_cell_length_c 3.587
_cell_angle_alpha 90.00
_cell_angle_beta 90.00
_cell_angle_gamma 90.00
loop_
_atom_site_label
_atom_site_type_symbol
_atom_site_fract_x
_atom_site_fract_y
_atom_site_fract_z
_atom_site_occupancy
Hf1 Hf 0.000 0.500 0.000 1
Sc1 Sc 0.000 0.000 0.500 1
Mo1 Mo 0.500 0.500 0.500 1

Entry 12:
# Te2IrI PBE optimized geometry
# E above lowest polymorph   0.846 eV per atom
# Total moment   0.00 μB per atom
# Calculated volume   105.4 Å³/cell
data_Te2IrI
_chemical_formula_sum 'Te2 Ir1 I1'
_symmetry_space_group_name_H-M 'P 4/m m m'
_symmetry_Int_Tables_number 123
_symmetry_space_group_name_Hall '-P 4 2'
_cell_length_a 4.248
_cell_length_b 4.248
_cell_length_c 5.843
_cell_angle_alpha 90.00
_cell_angle_beta 90.00
_cell_angle_gamma 90.00
loop_
_atom_site_label
_atom_site_type_symbol
_atom_site_fract_x
_atom_site_fract_y
_atom_site_fract_z
_atom_site_occupancy
Te1 Te 0.000 0.000 0.000 1
Te2 Te 0.500 0.500 0.500 1
Ir1 Ir 0.000 0.000 0.500 1
I1 I 0.500 0.500 0.000 1